Computed, not measured: a relaxed structure of Cs4Pu3MnO12 at the GGA+U level of DFT.

Total energy   -157.825 eV for the cell shown

Structure (POSCAR):
```
Cs4Pu3MnO12
1.0
-4.374 4.374 4.374
4.374 -4.374 4.374
4.374 4.374 -4.374
Cs Pu Mn O
4 3 1 12
Direct
0.000 0.000 0.500 Cs
0.000 0.500 0.000 Cs
0.500 0.000 0.000 Cs
0.500 0.500 0.500 Cs
0.000 0.500 0.500 Pu
0.500 0.000 0.500 Pu
0.500 0.500 0.000 Pu
0.000 0.000 0.000 Mn
0.000 0.275 0.275 O
0.000 0.725 0.725 O
0.250 0.500 0.750 O
0.250 0.750 0.500 O
0.275 0.000 0.275 O
0.275 0.275 0.000 O
0.500 0.250 0.750 O
0.500 0.750 0.250 O
0.725 0.000 0.725 O
0.725 0.725 0.000 O
0.750 0.250 0.500 O
0.750 0.500 0.250 O
```